Version 1
Compound: Ho2TmAu
Source: the Alexandria database
Functional: PBE-GGA
Structure: relaxed

Properties
Magnetization: 0.56 μB/f.u.
Crystal system: trigonal
Density of states at the Fermi level: 4.662 states/eV/cell

The structure in CIF format:
```
data_Ho2TmAu
_symmetry_space_group_name_H-M 'P 1'
_symmetry_Int_Tables_number 1
_symmetry_space_group_name_Hall 'P 1'
_cell_length_a 3.695
_cell_length_b 3.695
_cell_length_c 9.970
_cell_angle_alpha 79.32
_cell_angle_beta 79.32
_cell_angle_gamma 60.00
loop_
_atom_site_label
_atom_site_type_symbol
_atom_site_fract_x
_atom_site_fract_y
_atom_site_fract_z
Ho1 Ho 0.263 0.263 0.211
Ho2 Ho 0.070 0.070 0.789
Au1 Au 0.666 0.666 0.002
Tm1 Tm 0.501 0.501 0.498
```

Version 2
Compound: Ho2TmAu
Source: the Alexandria database
Functional: PBE-GGA
Structure: relaxed

Properties
Magnetization: 0.00 μB/f.u.
Crystal system: trigonal
Density of states at the Fermi level: 4.900 states/eV/cell

The structure in CIF format:
```
data_Ho2TmAu
_symmetry_space_group_name_H-M 'P 1'
_symmetry_Int_Tables_number 1
_symmetry_space_group_name_Hall 'P 1'
_cell_length_a 3.625
_cell_length_b 3.625
_cell_length_c 10.173
_cell_angle_alpha 79.74
_cell_angle_beta 79.74
_cell_angle_gamma 60.00
loop_
_atom_site_label
_atom_site_type_symbol
_atom_site_fract_x
_atom_site_fract_y
_atom_site_fract_z
Au1 Au 0.000 0.000 0.000
Tm1 Tm 0.500 0.500 0.500
Ho1 Ho 0.738 0.738 0.786
Ho2 Ho 0.262 0.262 0.214
```

The structure with the most favorable energy is version 1; the runner-up is 0.012 eV/atom above it.

Version 1
Compound: Ho2TmAu
Source: the Alexandria database
Functional: PBE-GGA
Structure: relaxed

Properties
Magnetization: 0.00 μB/f.u.
Crystal system: orthorhombic
Density of states at the Fermi level: 9.136 states/eV/cell

The structure in CIF format:
```
data_Ho2TmAu
_symmetry_space_group_name_H-M 'P 1'
_symmetry_Int_Tables_number 1
_symmetry_space_group_name_Hall 'P 1'
_cell_length_a 4.873
_cell_length_b 6.355
_cell_length_c 7.819
_cell_angle_alpha 90.00
_cell_angle_beta 90.00
_cell_angle_gamma 112.50
loop_
_atom_site_label
_atom_site_type_symbol
_atom_site_fract_x
_atom_site_fract_y
_atom_site_fract_z
Ho1 Ho 0.643 0.287 0.464
Ho2 Ho 0.357 0.713 0.536
Ho3 Ho 0.357 0.713 0.964
Ho4 Ho 0.643 0.287 0.036
Tm1 Tm 0.958 0.916 0.250
Tm2 Tm 0.042 0.084 0.750
Au1 Au 0.795 0.590 0.750
Au2 Au 0.205 0.410 0.250
```

Version 2
Compound: Ho2TmAu
Source: the Alexandria database
Functional: PBE-GGA
Structure: relaxed

Properties
Magnetization: 0.00 μB/f.u.
Crystal system: tetragonal
Density of states at the Fermi level: 4.882 states/eV/cell

The structure in CIF format:
```
data_Ho2TmAu
_symmetry_space_group_name_H-M 'P 1'
_symmetry_Int_Tables_number 1
_symmetry_space_group_name_Hall 'P 1'
_cell_length_a 4.674
_cell_length_b 4.682
_cell_length_c 4.682
_cell_angle_alpha 90.00
_cell_angle_beta 90.00
_cell_angle_gamma 90.00
loop_
_atom_site_label
_atom_site_type_symbol
_atom_site_fract_x
_atom_site_fract_y
_atom_site_fract_z
Tm1 Tm 0.500 0.500 0.500
Ho1 Ho 0.000 0.500 0.000
Ho2 Ho 0.000 0.000 0.500
Au1 Au 0.500 0.000 0.000
```

The structure with the most favorable energy is version 1; the runner-up is 0.143 eV/atom above it.

Version 1
Compound: Y3HoAu2
Source: the Alexandria database
Functional: PBE-GGA
Structure: relaxed

Properties
Magnetization: 0.00 μB/f.u.
Crystal system: orthorhombic
Density of states at the Fermi level: 11.999 states/eV/cell

The structure in CIF format:
```
data_Y3HoAu2
_symmetry_space_group_name_H-M 'P 1'
_symmetry_Int_Tables_number 1
_symmetry_space_group_name_Hall 'P 1'
_cell_length_a 4.982
_cell_length_b 7.103
_cell_length_c 8.983
_cell_angle_alpha 90.00
_cell_angle_beta 90.00
_cell_angle_gamma 90.00
loop_
_atom_site_label
_atom_site_type_symbol
_atom_site_fract_x
_atom_site_fract_y
_atom_site_fract_z
Ho1 Ho 0.500 0.013 0.425
Ho2 Ho 0.500 0.513 0.575
Y1 Y 0.000 0.487 0.927
Y2 Y 0.000 0.351 0.333
Y3 Y 0.500 0.149 0.831
Y4 Y 0.000 0.987 0.073
Y5 Y 0.000 0.851 0.667
Y6 Y 0.500 0.649 0.169
Au1 Au 0.000 0.261 0.652
Au2 Au 0.500 0.240 0.152
Au3 Au 0.500 0.740 0.848
Au4 Au 0.000 0.761 0.348
```

Version 2
Compound: Y3HoAu2
Source: the Alexandria database
Functional: PBE-GGA
Structure: relaxed

Properties
Magnetization: 0.00 μB/f.u.
Crystal system: orthorhombic
Density of states at the Fermi level: 16.937 states/eV/cell

The structure in CIF format:
```
data_Y3HoAu2
_symmetry_space_group_name_H-M 'P 1'
_symmetry_Int_Tables_number 1
_symmetry_space_group_name_Hall 'P 1'
_cell_length_a 7.028
_cell_length_b 7.332
_cell_length_c 8.600
_cell_angle_alpha 115.23
_cell_angle_beta 114.12
_cell_angle_gamma 90.00
loop_
_atom_site_label
_atom_site_type_symbol
_atom_site_fract_x
_atom_site_fract_y
_atom_site_fract_z
Y1 Y 0.233 0.483 0.466
Y2 Y 0.767 0.017 0.534
Y3 Y 0.767 0.517 0.534
Y4 Y 0.500 0.250 0.000
Y5 Y 0.233 0.983 0.466
Y6 Y 0.500 0.750 0.000
Au1 Au 0.566 0.359 0.718
Au2 Au 0.434 0.641 0.282
Au3 Au 0.152 0.859 0.718
Au4 Au 0.848 0.141 0.282
Ho1 Ho 0.000 0.500 0.000
Ho2 Ho 0.000 0.000 0.000
```

The structure with the most favorable energy is version 1; the runner-up is 0.180 eV/atom above it.

Version 1
Compound: HoZn9Au2
Source: the Alexandria database
Functional: PBE-GGA
Structure: relaxed

Properties
Magnetization: 0.00 μB/f.u.
Crystal system: hexagonal
Density of states at the Fermi level: 2.454 states/eV/cell

The structure in CIF format:
```
data_HoZn9Au2
_symmetry_space_group_name_H-M 'P 1'
_symmetry_Int_Tables_number 1
_symmetry_space_group_name_Hall 'P 1'
_cell_length_a 3.113
_cell_length_b 8.734
_cell_length_c 8.734
_cell_angle_alpha 120.00
_cell_angle_beta 90.00
_cell_angle_gamma 90.00
loop_
_atom_site_label
_atom_site_type_symbol
_atom_site_fract_x
_atom_site_fract_y
_atom_site_fract_z
Zn1 Zn 0.500 0.820 0.180
Zn2 Zn 0.500 0.360 0.180
Zn3 Zn 0.500 0.820 0.640
Zn4 Zn 0.500 0.640 0.820
Zn5 Zn 0.000 0.500 0.000
Zn6 Zn 0.000 0.000 0.500
Zn7 Zn 0.500 0.180 0.360
Zn8 Zn 0.000 0.500 0.500
Zn9 Zn 0.500 0.180 0.820
Au1 Au 0.000 0.333 0.667
Au2 Au 0.000 0.667 0.333
Ho1 Ho 0.000 0.000 0.000
```

Version 2
Compound: HoZn9Au2
Source: the Alexandria database
Functional: PBE-GGA
Structure: relaxed

Properties
Magnetization: 0.00 μB/f.u.
Crystal system: tetragonal
Density of states at the Fermi level: 4.925 states/eV/cell

The structure in CIF format:
```
data_HoZn9Au2
_symmetry_space_group_name_H-M 'P 1'
_symmetry_Int_Tables_number 1
_symmetry_space_group_name_Hall 'P 1'
_cell_length_a 6.918
_cell_length_b 8.340
_cell_length_c 8.340
_cell_angle_alpha 80.10
_cell_angle_beta 65.50
_cell_angle_gamma 65.50
loop_
_atom_site_label
_atom_site_type_symbol
_atom_site_fract_x
_atom_site_fract_y
_atom_site_fract_z
Zn1 Zn 0.666 0.587 0.172
Zn2 Zn 0.000 0.000 0.000
Zn3 Zn 0.425 0.828 0.413
Zn4 Zn 0.325 0.672 0.087
Zn5 Zn 0.162 0.172 0.413
Zn6 Zn 0.750 0.500 0.500
Zn7 Zn 0.084 0.913 0.328
Zn8 Zn 0.588 0.328 0.087
Zn9 Zn 0.325 0.087 0.672
Zn10 Zn 0.666 0.172 0.587
Zn11 Zn 0.747 0.587 0.828
Zn12 Zn 0.747 0.828 0.587
Zn13 Zn 0.084 0.328 0.913
Zn14 Zn 0.425 0.413 0.828
Zn15 Zn 0.588 0.087 0.328
Zn16 Zn 0.003 0.913 0.672
Zn17 Zn 0.162 0.413 0.172
Zn18 Zn 0.003 0.672 0.913
Au1 Au 0.375 0.750 0.750
Au2 Au 0.875 0.250 0.750
Au3 Au 0.875 0.750 0.250
Au4 Au 0.875 0.250 0.250
Ho1 Ho 0.250 0.500 0.500
Ho2 Ho 0.500 0.000 0.000
```

The structure with the most favorable energy is version 2; the runner-up is 0.087 eV/atom above it.

Version 1
Compound: HoZn2Au2
Source: the Alexandria database
Functional: PBE-GGA
Structure: relaxed

Properties
Magnetization: 0.00 μB/f.u.
Crystal system: orthorhombic
Density of states at the Fermi level: 10.254 states/eV/cell

The structure in CIF format:
```
data_HoZn2Au2
_symmetry_space_group_name_H-M 'P 1'
_symmetry_Int_Tables_number 1
_symmetry_space_group_name_Hall 'P 1'
_cell_length_a 4.259
_cell_length_b 7.413
_cell_length_c 12.176
_cell_angle_alpha 90.00
_cell_angle_beta 90.00
_cell_angle_gamma 90.00
loop_
_atom_site_label
_atom_site_type_symbol
_atom_site_fract_x
_atom_site_fract_y
_atom_site_fract_z
Zn1 Zn 0.750 0.964 0.439
Zn2 Zn 0.250 0.036 0.561
Zn3 Zn 0.750 0.464 0.061
Zn4 Zn 0.750 0.293 0.626
Zn5 Zn 0.250 0.207 0.126
Zn6 Zn 0.250 0.536 0.939
Zn7 Zn 0.750 0.793 0.874
Zn8 Zn 0.250 0.707 0.374
Ho1 Ho 0.750 0.871 0.188
Ho2 Ho 0.250 0.129 0.812
Ho3 Ho 0.250 0.629 0.688
Ho4 Ho 0.750 0.371 0.312
Au1 Au 0.250 0.574 0.172
Au2 Au 0.750 0.926 0.672
Au3 Au 0.750 0.629 0.502
Au4 Au 0.250 0.371 0.498
Au5 Au 0.750 0.426 0.828
Au6 Au 0.250 0.871 0.002
Au7 Au 0.750 0.129 0.998
Au8 Au 0.250 0.074 0.328
```

Version 2
Compound: HoZn2Au2
Source: the Alexandria database
Functional: PBE-GGA
Structure: relaxed

Properties
Magnetization: 0.00 μB/f.u.
Crystal system: tetragonal
Density of states at the Fermi level: 1.884 states/eV/cell

The structure in CIF format:
```
data_HoZn2Au2
_symmetry_space_group_name_H-M 'P 1'
_symmetry_Int_Tables_number 1
_symmetry_space_group_name_Hall 'P 1'
_cell_length_a 3.831
_cell_length_b 3.831
_cell_length_c 6.684
_cell_angle_alpha 90.00
_cell_angle_beta 90.00
_cell_angle_gamma 90.00
loop_
_atom_site_label
_atom_site_type_symbol
_atom_site_fract_x
_atom_site_fract_y
_atom_site_fract_z
Au1 Au 0.500 0.500 0.211
Au2 Au 0.500 0.500 0.789
Zn1 Zn 0.000 0.500 0.500
Zn2 Zn 0.500 0.000 0.500
Ho1 Ho 0.000 0.000 0.000
```

The structure with the most favorable energy is version 1; the runner-up is 0.030 eV/atom above it.

Version 1
Compound: HoZn2Au8
Source: the Alexandria database
Functional: PBE-GGA
Structure: relaxed

Properties
Magnetization: 0.00 μB/f.u.
Crystal system: monoclinic
Density of states at the Fermi level: 3.054 states/eV/cell

The structure in CIF format:
```
data_HoZn2Au8
_symmetry_space_group_name_H-M 'P 1'
_symmetry_Int_Tables_number 1
_symmetry_space_group_name_Hall 'P 1'
_cell_length_a 4.640
_cell_length_b 7.453
_cell_length_c 7.453
_cell_angle_alpha 115.13
_cell_angle_beta 103.43
_cell_angle_gamma 103.43
loop_
_atom_site_label
_atom_site_type_symbol
_atom_site_fract_x
_atom_site_fract_y
_atom_site_fract_z
Zn1 Zn 0.000 0.319 0.681
Zn2 Zn 0.000 0.681 0.319
Au1 Au 0.500 0.230 0.770
Au2 Au 0.121 0.324 0.073
Au3 Au 0.879 0.927 0.676
Au4 Au 0.121 0.073 0.324
Au5 Au 0.500 0.770 0.230
Au6 Au 0.328 0.607 0.607
Au7 Au 0.879 0.676 0.927
Au8 Au 0.672 0.393 0.393
Ho1 Ho 0.500 0.000 0.000
```

Version 2
Compound: HoZn2Au8
Source: the Alexandria database
Functional: PBE-GGA
Structure: relaxed

Properties
Magnetization: 0.00 μB/f.u.
Crystal system: monoclinic
Density of states at the Fermi level: 2.669 states/eV/cell

The structure in CIF format:
```
data_HoZn2Au8
_symmetry_space_group_name_H-M 'P 1'
_symmetry_Int_Tables_number 1
_symmetry_space_group_name_Hall 'P 1'
_cell_length_a 4.217
_cell_length_b 6.880
_cell_length_c 7.628
_cell_angle_alpha 109.43
_cell_angle_beta 106.05
_cell_angle_gamma 90.00
loop_
_atom_site_label
_atom_site_type_symbol
_atom_site_fract_x
_atom_site_fract_y
_atom_site_fract_z
Au1 Au 0.318 0.082 0.636
Au2 Au 0.607 0.467 0.213
Au3 Au 0.851 0.779 0.702
Au4 Au 0.393 0.533 0.787
Au5 Au 0.149 0.221 0.298
Au6 Au 0.044 0.726 0.087
Au7 Au 0.956 0.274 0.913
Au8 Au 0.682 0.918 0.364
Zn1 Zn 0.778 0.341 0.557
Zn2 Zn 0.222 0.659 0.443
Ho1 Ho 0.500 0.000 0.000
```

The structure with the most favorable energy is version 2; the runner-up is 0.050 eV/atom above it.